Version A
{"formula": "CsTiGe3", "functional": "GGA-PBE", "state": "optimized geometry", "lattice": [[5.4722, 0.0000, 0.0000], [0.0000, 5.4722, 0.0000], [0.0000, 0.0000, 5.4722]], "species": ["Cs", "Ti", "Ge", "Ge", "Ge"], "frac_coords": [[0.0000, 0.0000, 0.0000], [0.5000, 0.5000, 0.5000], [0.0000, 0.0000, 0.5000], [0.0000, 0.5000, 0.0000], [0.5000, 0.0000, 0.0000]], "m_tot_mub_per_cell": 0.0, "density_g_cm3": 4.0}


Version B
{"formula": "CsTiGe3", "functional": "GGA-PBE", "state": "optimized geometry", "lattice": [[5.0981, 0.0000, 0.0000], [0.0000, 5.0981, 0.0000], [0.0000, 0.0000, 5.0981]], "species": ["Cs", "Ti", "Ge", "Ge", "Ge"], "frac_coords": [[0.0000, 0.0000, 0.0000], [0.5000, 0.5000, 0.5000], [0.0000, 0.5000, 0.5000], [0.5000, 0.0000, 0.5000], [0.5000, 0.5000, 0.0000]], "m_tot_mub_per_cell": 0.0, "density_g_cm3": 5.0}


Result of the stability comparison: version A is the least stable of them.


Version A
{"formula": "Cs2TlGe2", "functional": "GGA-PBE", "state": "optimized geometry", "lattice": [[8.5688, 0.0000, 0.0000], [0.0000, 8.5688, 0.0000], [0.0000, 0.0000, 5.7362]], "species": ["Cs", "Cs", "Cs", "Cs", "Tl", "Tl", "Ge", "Ge", "Ge", "Ge"], "frac_coords": [[0.2064, 0.2936, 0.0000], [0.2936, 0.7936, 0.0000], [0.7064, 0.2064, 0.0000], [0.7936, 0.7064, 0.0000], [0.0000, 0.0000, 0.5000], [0.5000, 0.5000, 0.5000], [0.0950, 0.5950, 0.5000], [0.4050, 0.0950, 0.5000], [0.5950, 0.9050, 0.5000], [0.9050, 0.4050, 0.5000]], "m_tot_mub_per_cell": 0.0, "density_g_cm3": 4.9}


Version B
{"formula": "Cs2TlGe2", "functional": "GGA-PBE", "state": "optimized geometry", "lattice": [[5.1375, 0.0000, 0.0000], [0.0000, 5.8767, 0.0000], [0.0000, 0.0000, 12.6435]], "species": ["Cs", "Cs", "Cs", "Cs", "Tl", "Tl", "Ge", "Ge", "Ge", "Ge"], "frac_coords": [[0.0000, 0.0000, 0.2055], [0.0000, 0.0000, 0.7945], [0.5000, 0.5000, 0.2945], [0.5000, 0.5000, 0.7055], [0.0000, 0.5000, 0.0000], [0.5000, 0.0000, 0.5000], [0.0000, 0.2819, 0.5000], [0.0000, 0.7181, 0.5000], [0.5000, 0.2181, 0.0000], [0.5000, 0.7819, 0.0000]], "m_tot_mub_per_cell": 0.0, "density_g_cm3": 5.4}


Result of the stability comparison: version A is the least stable of them.